Entry from Alexandria via LeMat-Bulk: an optimized crystal structure of K2CaTc2N4 (PBE).

```
K2CaTc2N4
1.0
-1.047 -3.205 1.054
6.198 1.070 3.489
-8.908 3.184 0.834
N K Tc Ca
4 2 2 1
Cartesian
1.590 0.103 1.893 N
-1.656 1.988 4.399 N
-5.347 0.946 3.485 N
-2.101 -0.939 0.979 N
-0.620 -0.537 3.671 K
-3.137 1.586 1.707 K
-7.166 1.233 2.550 Tc
3.409 -0.183 2.827 Tc
0.000 0.000 0.000 Ca
```

Computed properties:
symmetry	No. 12
total DFT energy (no corrections)	-61.09	eV per formula unit
formation energy without anion corrections	-2.9	eV per formula unit
theoretical density	3.9	Mg/m³